No. 1
A geometry-optimized Li2CaHfF8 structure, computed with GGA-PBEsol.

Unit cell a=5.0885 b=5.0885 c=6.3335 alpha=113.69 beta=113.69 gamma=90.00
Element x y z (fractional)
1 Ca 0.2500 0.7500 0.5000
2 Li 0.0000 0.0000 0.0000
3 Li 0.7500 0.2500 0.5000
4 Hf 0.5000 0.5000 0.0000
5 F 0.2569 0.7843 0.1406
6 F 0.5140 0.4504 0.3220
7 F 0.2157 0.1163 0.8594
8 F 0.6437 0.7431 0.8594
9 F 0.8837 0.3563 0.1406
10 F 0.5496 0.1920 0.6780
11 F 0.8080 0.8716 0.3220
12 F 0.1284 0.4860 0.6780

Computed properties:
E_tot   -0.231 hartree per atom
Size of the total moment   0.00 μB per cell

***

No. 2
A geometry-optimized CuH3F structure, computed with GGA-PBEsol.

Unit cell a=3.2311 b=3.2311 c=3.2311 alpha=90.00 beta=90.00 gamma=90.00
Element x y z (fractional)
1 H 0.0000 0.5000 0.0000
2 H 0.0000 0.0000 0.5000
3 H 0.5000 0.0000 0.0000
4 Cu 0.0000 0.0000 0.0000
5 F 0.5000 0.5000 0.5000

Computed properties:
E_tot   -0.108 hartree per atom
Size of the total moment   0.00 μB per cell

***

No. 3
A geometry-optimized Ta2FeSe structure, computed with GGA-PBEsol.

Unit cell a=3.0300 b=4.6226 c=4.8227 alpha=107.22 beta=108.31 gamma=90.00
Element x y z (fractional)
1 Fe 0.5030 0.4488 0.0060
2 Se 0.2336 0.7871 0.4673
3 Ta 0.9862 0.9470 0.9723
4 Ta 0.7772 0.3171 0.5544

Computed properties:
E_tot   -0.350 hartree per atom
Size of the total moment   0.02 μB per cell

***

No. 4
A geometry-optimized Ho4InNi2Ge4 structure, computed with GGA-PBEsol.

Unit cell a=4.1711 b=6.9150 c=7.8872 alpha=108.04 beta=105.33 gamma=90.00
Element x y z (fractional)
1 Ho 0.3439 0.0611 0.6878
2 Ho 0.6561 0.9389 0.3122
3 Ho 0.4082 0.6080 0.8165
4 Ho 0.5918 0.3920 0.1835
5 In 0.0000 0.0000 0.0000
6 Ni 0.2165 0.6457 0.4329
7 Ni 0.7835 0.3543 0.5671
8 Ge 0.0651 0.6638 0.1303
9 Ge 0.9349 0.3362 0.8697
10 Ge 0.2040 0.2740 0.4079
11 Ge 0.7960 0.7260 0.5921

Computed properties:
E_tot   -0.214 hartree per atom
Size of the total moment   0.00 μB per cell
Formation energy   -0.85 eV/atom